Model i:
This record from Alexandria describes a relaxed SmDy4 crystal. The functional is PBE.

Cell lengths 5.631, 5.631, 5.631 Å; angles 90.00, 90.00, 90.00 degrees
Element x y z (fractional)
1 Sm 0.000 0.000 0.000
2 Dy 0.000 0.000 0.500
3 Dy 0.000 0.500 0.000
4 Dy 0.500 0.000 0.000
5 Dy 0.500 0.500 0.500

=====

Model ii:
This record from Alexandria describes a relaxed SmDy4 crystal. The functional is PBE.

Cell lengths 7.654, 7.654, 7.654 Å; angles 105.54, 105.54, 117.67 degrees
Element x y z (fractional)
1 Sm 0.375 0.625 0.750
2 Sm 0.625 0.375 0.250
3 Dy 0.167 0.730 0.436
4 Dy 0.206 0.270 0.936
5 Dy 0.270 0.206 0.436
6 Dy 0.270 0.833 0.064
7 Dy 0.730 0.167 0.936
8 Dy 0.730 0.794 0.564
9 Dy 0.794 0.730 0.064
10 Dy 0.833 0.270 0.564

=====

Which structure is the most stable? The one labeled model ii.

=====

Model i:
This record from Alexandria describes a relaxed Sm5Dy7 crystal. The functional is PBE.

Cell lengths 9.492, 9.492, 13.155 Å; angles 117.62, 117.62, 21.81 degrees
Element x y z (fractional)
1 Sm 0.000 0.000 0.000
2 Sm 0.166 0.166 0.499
3 Sm 0.305 0.305 0.249
4 Sm 0.695 0.695 0.751
5 Sm 0.834 0.834 0.501
6 Dy 0.028 0.028 0.750
7 Dy 0.334 0.334 0.002
8 Dy 0.362 0.362 0.751
9 Dy 0.500 0.500 0.500
10 Dy 0.638 0.638 0.249
11 Dy 0.666 0.666 0.998
12 Dy 0.972 0.972 0.250

=====

Model ii:
This record from Alexandria describes a relaxed Sm5Dy7 crystal. The functional is PBE.

Cell lengths 5.598, 5.598, 14.747 Å; angles 101.78, 101.78, 61.84 degrees
Element x y z (fractional)
1 Sm 0.000 0.000 0.000
2 Sm 0.139 0.139 0.437
3 Sm 0.379 0.379 0.200
4 Sm 0.621 0.621 0.800
5 Sm 0.861 0.861 0.563
6 Dy 0.045 0.045 0.214
7 Dy 0.241 0.241 0.672
8 Dy 0.317 0.317 0.918
9 Dy 0.500 0.500 0.500
10 Dy 0.683 0.683 0.082
11 Dy 0.759 0.759 0.328
12 Dy 0.955 0.955 0.786

=====

Which structure is the most stable? The one labeled model i.

=====

Model i:
This record from Alexandria describes a relaxed SmDySn crystal. The functional is PBE.

Cell lengths 4.573, 4.573, 8.603 Å; angles 90.00, 90.00, 90.00 degrees
Element x y z (fractional)
1 Sm 0.250 0.250 0.152
2 Sm 0.750 0.750 0.848
3 Dy 0.250 0.750 0.500
4 Dy 0.750 0.250 0.500
5 Sn 0.250 0.250 0.776
6 Sn 0.750 0.750 0.224

=====

Model ii:
This record from Alexandria describes a relaxed SmDySn crystal. The functional is PBE.

Cell lengths 6.364, 6.364, 9.122 Å; angles 110.41, 110.41, 31.78 degrees
Element x y z (fractional)
1 Sm 0.168 0.168 0.146
2 Sm 0.832 0.832 0.854
3 Dy 0.380 0.380 0.530
4 Dy 0.620 0.620 0.470
5 Sn 0.089 0.089 0.774
6 Sn 0.911 0.911 0.226

=====

Which structure is the most stable? The one labeled model i.

=====

Model i:
This record from Alexandria describes a relaxed Sm2DySn2 crystal. The functional is PBE.

Cell lengths 9.519, 9.519, 6.537 Å; angles 90.00, 90.00, 149.32 degrees
Element x y z (fractional)
1 Sm 0.000 0.000 0.000
2 Sm 0.000 0.000 0.500
3 Sm 0.192 0.808 0.751
4 Sm 0.808 0.192 0.251
5 Dy 0.396 0.604 0.750
6 Dy 0.604 0.396 0.250
7 Sn 0.192 0.808 0.251
8 Sn 0.425 0.575 0.250
9 Sn 0.575 0.425 0.750
10 Sn 0.808 0.192 0.751

=====

Model ii:
This record from Alexandria describes a relaxed Sm2DySn2 crystal. The functional is PBE.

Cell lengths 8.129, 8.129, 4.481 Å; angles 90.00, 90.00, 90.00 degrees
Element x y z (fractional)
1 Sm 0.171 0.329 0.000
2 Sm 0.329 0.829 0.000
3 Sm 0.671 0.171 0.000
4 Sm 0.829 0.671 0.000
5 Dy 0.000 0.000 0.500
6 Dy 0.500 0.500 0.500
7 Sn 0.131 0.631 0.500
8 Sn 0.369 0.131 0.500
9 Sn 0.631 0.869 0.500
10 Sn 0.869 0.369 0.500

=====

Which structure is the most stable? The one labeled model ii.

=====

Model i:
This record from Alexandria describes a relaxed SrSm2Dy crystal. The functional is PBE.

Cell lengths 3.711, 3.711, 10.693 Å; angles 90.00, 90.00, 90.00 degrees
Element x y z (fractional)
1 Sr 0.000 0.000 0.000
2 Sm 0.500 0.500 0.278
3 Sm 0.500 0.500 0.722
4 Dy 0.000 0.000 0.500

=====

Model ii:
This record from Alexandria describes a relaxed SrSm2Dy crystal. The functional is PBE.

Cell lengths 5.255, 5.255, 5.250 Å; angles 90.00, 90.00, 90.00 degrees
Element x y z (fractional)
1 Sr 0.000 0.000 0.000
2 Sm 0.000 0.500 0.500
3 Sm 0.500 0.000 0.500
4 Dy 0.500 0.500 0.000

=====

Which structure is the most stable? The one labeled model i.

=====

Model i:
This record from Alexandria describes a relaxed SrSm2Dy crystal. The functional is PBE.

Cell lengths 13.137, 13.137, 13.137 Å; angles 15.94, 15.94, 15.94 degrees
Element x y z (fractional)
1 Sr 0.000 0.000 0.000
2 Sm 0.093 0.093 0.093
3 Sm 0.907 0.907 0.907
4 Dy 0.500 0.500 0.500

=====

Model ii:
This record from Alexandria describes a relaxed SrSm2Dy crystal. The functional is PBE.

Cell lengths 12.485, 12.485, 12.485 Å; angles 17.08, 17.08, 17.08 degrees
Element x y z (fractional)
1 Sr 0.000 0.000 0.000
2 Sm 0.244 0.244 0.244
3 Sm 0.424 0.424 0.424
4 Dy 0.834 0.834 0.834

=====

Which structure is the most stable? The one labeled model ii.

=====

Model i:
This record from Alexandria describes a relaxed Tb3SmDy6 crystal. The functional is PBE.

Cell lengths 10.967, 10.967, 6.195 Å; angles 90.00, 90.00, 119.67 degrees
Element x y z (fractional)
1 Tb 0.110 0.890 0.500
2 Tb 0.218 0.438 0.112
3 Tb 0.438 0.218 0.612
4 Tb 0.562 0.782 0.112
5 Tb 0.782 0.562 0.612
6 Tb 0.890 0.110 0.000
7 Sm 0.294 0.706 0.427
8 Sm 0.706 0.294 0.927
9 Dy 0.038 0.458 0.704
10 Dy 0.119 0.211 0.535
11 Dy 0.211 0.119 0.035
12 Dy 0.218 0.782 0.930
13 Dy 0.454 0.546 0.658
14 Dy 0.458 0.038 0.204
15 Dy 0.542 0.962 0.704
16 Dy 0.546 0.454 0.158
17 Dy 0.782 0.218 0.430
18 Dy 0.789 0.881 0.535
19 Dy 0.881 0.789 0.035
20 Dy 0.962 0.542 0.204

=====

Model ii:
This record from Alexandria describes a relaxed Tb3SmDy6 crystal. The functional is PBE.

Cell lengths 11.553, 11.553, 6.380 Å; angles 90.00, 90.00, 130.89 degrees
Element x y z (fractional)
1 Tb 0.080 0.920 0.500
2 Tb 0.203 0.458 0.110
3 Tb 0.458 0.203 0.610
4 Tb 0.542 0.797 0.110
5 Tb 0.797 0.542 0.610
6 Tb 0.920 0.080 0.000
7 Sm 0.339 0.661 0.585
8 Sm 0.661 0.339 0.085
9 Dy 0.043 0.606 0.266
10 Dy 0.121 0.241 0.525
11 Dy 0.198 0.802 0.803
12 Dy 0.241 0.121 0.025
13 Dy 0.394 0.957 0.266
14 Dy 0.486 0.514 0.783
15 Dy 0.514 0.486 0.283
16 Dy 0.606 0.043 0.766
17 Dy 0.759 0.879 0.525
18 Dy 0.802 0.198 0.303
19 Dy 0.879 0.759 0.025
20 Dy 0.957 0.394 0.766

=====

Which structure is the most stable? The one labeled model ii.

=====

Model i:
This record from Alexandria describes a relaxed TbSm7Dy3 crystal. The functional is PBE.

Cell lengths 7.051, 5.620, 9.994 Å; angles 90.00, 110.50, 90.00 degrees
Element x y z (fractional)
1 Tb 0.000 0.000 0.000
2 Sm 0.000 0.000 0.500
3 Sm 0.147 0.500 0.791
4 Sm 0.320 0.500 0.140
5 Sm 0.417 0.000 0.330
6 Sm 0.583 0.000 0.670
7 Sm 0.680 0.500 0.860
8 Sm 0.853 0.500 0.209
9 Dy 0.279 0.500 0.499
10 Dy 0.500 0.000 0.000
11 Dy 0.721 0.500 0.501

=====

Model ii:
This record from Alexandria describes a relaxed TbSm7Dy3 crystal. The functional is PBE.

Cell lengths 8.506, 8.506, 5.869 Å; angles 110.14, 110.14, 82.95 degrees
Element x y z (fractional)
1 Tb 0.000 0.000 0.000
2 Sm 0.000 0.000 0.500
3 Sm 0.097 0.513 0.806
4 Sm 0.291 0.291 0.293
5 Sm 0.487 0.903 0.194
6 Sm 0.513 0.097 0.806
7 Sm 0.709 0.709 0.707
8 Sm 0.903 0.487 0.194
9 Dy 0.296 0.704 0.500
10 Dy 0.500 0.500 0.000
11 Dy 0.704 0.296 0.500

=====

Which structure is the most stable? The one labeled model i.

=====

Model i:
This record from Alexandria describes a relaxed Tb3Sm3Dy crystal. The functional is PBE.

Cell lengths 14.781, 14.781, 14.781 Å; angles 24.31, 24.31, 24.31 degrees
Element x y z (fractional)
1 Tb 0.101 0.435 0.768
2 Tb 0.232 0.899 0.565
3 Tb 0.435 0.768 0.101
4 Tb 0.565 0.232 0.899
5 Tb 0.768 0.101 0.435
6 Tb 0.899 0.565 0.232
7 Sm 0.037 0.699 0.368
8 Sm 0.301 0.632 0.963
9 Sm 0.368 0.037 0.699
10 Sm 0.632 0.963 0.301
11 Sm 0.699 0.368 0.037
12 Sm 0.963 0.301 0.632
13 Dy 0.167 0.167 0.167
14 Dy 0.833 0.833 0.833

=====

Model ii:
This record from Alexandria describes a relaxed Tb3Sm3Dy crystal. The functional is PBE.

Cell lengths 9.631, 9.631, 5.745 Å; angles 90.00, 90.00, 120.00 degrees
Element x y z (fractional)
1 Tb 0.095 0.477 0.250
2 Tb 0.382 0.905 0.250
3 Tb 0.477 0.382 0.750
4 Tb 0.523 0.618 0.250
5 Tb 0.618 0.095 0.750
6 Tb 0.905 0.523 0.750
7 Sm 0.048 0.241 0.750
8 Sm 0.192 0.952 0.750
9 Sm 0.241 0.192 0.250
10 Sm 0.759 0.808 0.750
11 Sm 0.808 0.048 0.250
12 Sm 0.952 0.759 0.250
13 Dy 0.333 0.667 0.750
14 Dy 0.667 0.333 0.250

=====

Which structure is the most stable? The one labeled model ii.

=====

Model i:
This record from Alexandria describes a relaxed Tb3Sm2Dy7 crystal. The functional is PBE.

Cell lengths 6.133, 5.520, 12.154 Å; angles 90.00, 92.18, 90.00 degrees
Element x y z (fractional)
1 Tb 0.000 0.000 0.000
2 Tb 0.449 0.500 0.338
3 Tb 0.551 0.500 0.662
4 Sm 0.105 0.000 0.281
5 Sm 0.895 0.000 0.719
6 Dy 0.059 0.500 0.823
7 Dy 0.266 0.000 0.549
8 Dy 0.416 0.000 0.834
9 Dy 0.500 0.500 0.000
10 Dy 0.584 0.000 0.166
11 Dy 0.734 0.000 0.451
12 Dy 0.941 0.500 0.177

=====

Model ii:
This record from Alexandria describes a relaxed Tb3Sm2Dy7 crystal. The functional is PBE.

Cell lengths 5.792, 3.576, 18.715 Å; angles 90.00, 93.46, 90.00 degrees
Element x y z (fractional)
1 Tb 0.000 0.000 0.000
2 Tb 0.278 0.500 0.631
3 Tb 0.722 0.500 0.369
4 Sm 0.208 0.000 0.294
5 Sm 0.792 0.000 0.706
6 Dy 0.184 0.500 0.143
7 Dy 0.242 0.000 0.462
8 Dy 0.314 0.000 0.824
9 Dy 0.500 0.500 0.000
10 Dy 0.686 0.000 0.176
11 Dy 0.758 0.000 0.538
12 Dy 0.816 0.500 0.857

=====

Which structure is the most stable? The one labeled model ii.